Record 1
# Li2Pm2BPt4, optimized geometry, DFT GGA-PBE
# calculated volume: 161 Å³/cell
# spin magnetization: 0.0 μB/f.u.
# total DFT energy (no corrections): -50.975 eV per cell
# ΔE_f: -0.756 eV per atom
# symmetry: I4/mmm (139)
data_Li2Pm2BPt4
_chemical_formula_sum 'Li2 Pm2 B1 Pt4'
_space_group_name_H-M_alt 'P 1'
_space_group_IT_number 1
_space_group_name_Hall 'P 1'
_cell_length_a 6.019
_cell_length_b 6.019
_cell_length_c 6.019
_cell_angle_alpha 96.22
_cell_angle_beta 116.47
_cell_angle_gamma 116.47
loop_
_atom_site_label
_atom_site_type_symbol
_atom_site_fract_x
_atom_site_fract_y
_atom_site_fract_z
Li1 Li 0.000 0.319 0.319
Li2 Li 0.000 0.681 0.681
Pm1 Pm 0.500 0.750 0.250
Pm2 Pm 0.500 0.250 0.750
Pt1 Pt 0.000 0.763 0.237
Pt2 Pt 0.526 0.763 0.763
Pt3 Pt 0.474 0.237 0.237
Pt4 Pt 0.000 0.237 0.763
B1 B 0.000 0.000 0.000

Record 2
# TcHgOs2, optimized geometry, DFT GGA-PBE
# calculated volume: 64 Å³/cell
# spin magnetization: 1.2 μB/f.u.
# total DFT energy (no corrections): -29.316 eV per cell
# ΔE_f: 0.953 eV per atom
# symmetry: F-43m (216)
data_TcHgOs2
_chemical_formula_sum 'Tc1 Hg1 Os2'
_space_group_name_H-M_alt 'P 1'
_space_group_IT_number 1
_space_group_name_Hall 'P 1'
_cell_length_a 4.489
_cell_length_b 4.489
_cell_length_c 4.489
_cell_angle_alpha 60.00
_cell_angle_beta 60.00
_cell_angle_gamma 60.00
loop_
_atom_site_label
_atom_site_type_symbol
_atom_site_fract_x
_atom_site_fract_y
_atom_site_fract_z
Os1 Os 0.250 0.250 0.250
Os2 Os 0.000 0.000 0.000
Hg1 Hg 0.500 0.500 0.500
Tc1 Tc 0.750 0.750 0.750

Record 3
# ScFeAuBr2, optimized geometry, DFT GGA-PBE
# calculated volume: 152 Å³/cell
# spin magnetization: 3.0 μB/f.u.
# total DFT energy (no corrections): -17.733 eV per cell
# symmetry: P4/mmm (123)
data_ScFeAuBr2
_chemical_formula_sum 'Sc1 Fe1 Au1 Br2'
_space_group_name_H-M_alt 'P 1'
_space_group_IT_number 1
_space_group_name_Hall 'P 1'
_cell_length_a 5.353
_cell_length_b 5.310
_cell_length_c 5.353
_cell_angle_alpha 90.00
_cell_angle_beta 90.00
_cell_angle_gamma 90.00
loop_
_atom_site_label
_atom_site_type_symbol
_atom_site_fract_x
_atom_site_fract_y
_atom_site_fract_z
Fe1 Fe 0.500 0.500 0.500
Br1 Br 0.000 0.000 0.500
Br2 Br 0.500 0.000 0.000
Au1 Au 0.000 0.000 0.000
Sc1 Sc 0.000 0.500 0.000

Record 4
# CeNp2U3S6, optimized geometry, DFT GGA-PBE
# calculated volume: 252 Å³/cell
# spin magnetization: 15.7 μB/f.u.
# total DFT energy (no corrections): -108.174 eV per cell
# symmetry: C2/m (12)
data_CeNp2U3S6
_chemical_formula_sum 'Ce1 Np2 U3 S6'
_space_group_name_H-M_alt 'P 1'
_space_group_IT_number 1
_space_group_name_Hall 'P 1'
_cell_length_a 6.670
_cell_length_b 6.670
_cell_length_c 6.901
_cell_angle_alpha 99.28
_cell_angle_beta 99.28
_cell_angle_gamma 119.94
loop_
_atom_site_label
_atom_site_type_symbol
_atom_site_fract_x
_atom_site_fract_y
_atom_site_fract_z
U1 U 0.836 0.164 0.500
U2 U 0.164 0.836 0.500
U3 U 0.500 0.500 0.500
Np1 Np 0.667 0.333 0.000
Np2 Np 0.333 0.667 0.000
Ce1 Ce 0.000 0.000 0.000
S1 S 0.425 0.085 0.254
S2 S 0.915 0.575 0.746
S3 S 0.742 0.742 0.250
S4 S 0.575 0.915 0.746
S5 S 0.258 0.258 0.750
S6 S 0.085 0.425 0.254

Record 5
# BHW, optimized geometry, DFT GGA-PBE
# calculated volume: 25 Å³/cell
# spin magnetization: 0.0 μB/f.u.
# total DFT energy (no corrections): -23.039 eV per cell
# symmetry: P3m1 (156)
data_BHW
_chemical_formula_sum 'B1 H1 W1'
_space_group_name_H-M_alt 'P 1'
_space_group_IT_number 1
_space_group_name_Hall 'P 1'
_cell_length_a 2.998
_cell_length_b 3.097
_cell_length_c 3.097
_cell_angle_alpha 60.00
_cell_angle_beta 90.00
_cell_angle_gamma 90.00
loop_
_atom_site_label
_atom_site_type_symbol
_atom_site_fract_x
_atom_site_fract_y
_atom_site_fract_z
W1 W 0.452 0.559 0.559
H1 H 0.284 0.892 0.892
B1 B 0.947 0.225 0.225

Record 6
# CsZrRe2, optimized geometry, DFT GGA-PBE
# calculated volume: 234 Å³/cell
# energy above the lowest structure with this stoichiometry: 0.000 eV/atom
# spin magnetization: 0.0 μB/f.u.
# total DFT energy (no corrections): -54.730 eV per cell
# ΔE_f: 1.733 eV per atom
# symmetry: I-42d (122)
data_CsZrRe2
_chemical_formula_sum 'Cs2 Zr2 Re4'
_space_group_name_H-M_alt 'P 1'
_space_group_IT_number 1
_space_group_name_Hall 'P 1'
_cell_length_a 4.969
_cell_length_b 4.969
_cell_length_c 10.123
_cell_angle_alpha 75.79
_cell_angle_beta 75.79
_cell_angle_gamma 90.00
loop_
_atom_site_label
_atom_site_type_symbol
_atom_site_fract_x
_atom_site_fract_y
_atom_site_fract_z
Re1 Re 0.417 0.625 0.250
Re2 Re 0.333 0.125 0.250
Re3 Re 0.375 0.667 0.750
Re4 Re 0.875 0.583 0.750
Cs1 Cs 0.000 0.000 0.000
Cs2 Cs 0.750 0.250 0.500
Zr1 Zr 0.500 0.500 0.000
Zr2 Zr 0.250 0.750 0.500

Record 7
# CaCdIn2Ni, optimized geometry, DFT GGA-PBE
# calculated volume: 124 Å³/cell
# energy above the lowest structure with this stoichiometry: 0.000 eV/atom
# spin magnetization: 0.0 μB/f.u.
# total DFT energy (no corrections): -15.065 eV per cell
# ΔE_f: -0.178 eV per atom
# symmetry: P4/mmm (123)
data_CaCdIn2Ni
_chemical_formula_sum 'Ca1 Cd1 In2 Ni1'
_space_group_name_H-M_alt 'P 1'
_space_group_IT_number 1
_space_group_name_Hall 'P 1'
_cell_length_a 4.958
_cell_length_b 4.958
_cell_length_c 5.042
_cell_angle_alpha 90.00
_cell_angle_beta 90.00
_cell_angle_gamma 90.00
loop_
_atom_site_label
_atom_site_type_symbol
_atom_site_fract_x
_atom_site_fract_y
_atom_site_fract_z
In1 In 0.000 0.500 0.000
In2 In 0.500 0.000 0.000
Ca1 Ca 0.500 0.500 0.500
Ni1 Ni 0.000 0.000 0.000
Cd1 Cd 0.000 0.000 0.500

Record 8
# NpBeGa5, optimized geometry, DFT GGA-PBE
# calculated volume: 124 Å³/cell
# spin magnetization: 3.9 μB/f.u.
# total DFT energy (no corrections): -32.493 eV per cell
# ΔE_f: -0.099 eV per atom
# symmetry: P4/mmm (123)
data_NpBeGa5
_chemical_formula_sum 'Np1 Be1 Ga5'
_space_group_name_H-M_alt 'P 1'
_space_group_IT_number 1
_space_group_name_Hall 'P 1'
_cell_length_a 4.310
_cell_length_b 4.310
_cell_length_c 6.681
_cell_angle_alpha 90.00
_cell_angle_beta 90.00
_cell_angle_gamma 90.00
loop_
_atom_site_label
_atom_site_type_symbol
_atom_site_fract_x
_atom_site_fract_y
_atom_site_fract_z
Ga1 Ga 0.000 0.500 0.696
Ga2 Ga 0.500 0.000 0.304
Ga3 Ga 0.000 0.500 0.304
Ga4 Ga 0.500 0.500 0.000
Ga5 Ga 0.500 0.000 0.696
Np1 Np 0.000 0.000 0.000
Be1 Be 0.000 0.000 0.500